A relaxed BaIr crystal, computed with PBE.

abc: 4.4246 4.4246 26.7947
angles: 90.00 90.00 120.00
Atoms (fractional coordinates):
Ba: 0.0000 0.0000 0.0792
Ba: 0.0000 0.0000 0.9208
Ba: 0.3333 0.6667 0.5875
Ba: 0.3333 0.6667 0.7458
Ba: 0.6667 0.3333 0.2542
Ba: 0.6667 0.3333 0.4125
Ir: 0.0000 0.0000 0.3333
Ir: 0.0000 0.0000 0.6667
Ir: 0.3333 0.6667 0.0000
Ir: 0.3333 0.6667 0.3333
Ir: 0.6667 0.3333 0.0000
Ir: 0.6667 0.3333 0.6667

## Properties
The calculation puts the total energy at -5.607 eV per atom. The value obtained for the density is 7.2 g/cm3. The value obtained for the density of states at the Fermi level is 1.219 states/eV per atom.